Record 1
Below is Tb3TmTc after structural relaxation, with properties calculated at the GGA-PBE level.

SG = Cm
Total DFT energy (no corrections) = -58.09 eV/cell
N(E_F) = 9.697 states/eV per cell

Cell lengths 6.328, 6.328, 12.788 Å; angles 111.29, 111.29, 35.93 degrees
Fractional positions:
Tb 0.000 0.000 0.000
Tb 0.023 0.023 0.375
Tb 0.328 0.328 0.763
Tb 0.355 0.355 0.134
Tb 0.684 0.684 0.237
Tb 0.799 0.799 0.519
Tm 0.552 0.552 0.620
Tm 0.670 0.670 0.898
Tc 0.358 0.358 0.375
Tc 0.998 0.998 0.765

=====

Record 2
Below is BaCdSe after structural relaxation, with properties calculated at the GGA-PBE level.

SG = F-43m
E_form (uncorrected) = -85.7 kJ per mole of atoms
Total DFT energy (no corrections) = -8.99 eV/cell
N(E_F) = 0.046 states/eV per cell
Energy relative to the lowest polymorph listed for this composition = 240.3 meV per atom

Cell lengths 5.493, 5.493, 5.493 Å; angles 60.00, 60.00, 60.00 degrees
Fractional positions:
Ba 0.000 0.000 0.000
Cd 0.500 0.500 0.500
Se 0.750 0.750 0.750

=====

Record 3
Below is K4OsRh3S8 after structural relaxation, with properties calculated at the GGA-PBE level.

SG = R-3m
E_form (uncorrected) = -65.7 kJ per mole of atoms
Total DFT energy (no corrections) = -81.58 eV/cell
N(E_F) = 6.042 states/eV per cell

Cell lengths 8.008, 8.008, 8.008 Å; angles 55.53, 55.53, 55.53 degrees
Fractional positions:
K 0.000 0.000 0.000
K 0.000 0.500 0.500
K 0.500 0.000 0.500
K 0.500 0.500 0.000
Os 0.500 0.500 0.500
Rh 0.000 0.000 0.500
Rh 0.000 0.500 0.000
Rh 0.500 0.000 0.000
S 0.222 0.222 0.222
S 0.224 0.721 0.721
S 0.279 0.279 0.776
S 0.279 0.776 0.279
S 0.721 0.224 0.721
S 0.721 0.721 0.224
S 0.776 0.279 0.279
S 0.778 0.778 0.778

=====

Record 4
Below is Mg2TeH2 after structural relaxation, with properties calculated at the GGA-PBE level.

SG = P4/mbm
Total DFT energy (no corrections) = -23.62 eV/cell
N(E_F) = 4.360 states/eV per cell
Energy relative to the lowest polymorph listed for this composition = 551.3 meV per atom

Cell lengths 6.773, 6.773, 3.420 Å; angles 90.00, 90.00, 90.00 degrees
Fractional positions:
Mg 0.150 0.350 0.000
Mg 0.350 0.850 0.000
Mg 0.650 0.150 0.000
Mg 0.850 0.650 0.000
Te 0.000 0.000 0.500
Te 0.500 0.500 0.500
H 0.090 0.590 0.500
H 0.410 0.090 0.500
H 0.590 0.910 0.500
H 0.910 0.410 0.500

=====

Record 5
Below is LaTmCd after structural relaxation, with properties calculated at the GGA-PBE level.

SG = P3m1
Total DFT energy (no corrections) = -10.57 eV/cell
N(E_F) = 5.104 states/eV per cell
Energy relative to the lowest polymorph listed for this composition = 122.0 meV per atom

Cell lengths 5.302, 5.302, 3.778 Å; angles 90.00, 90.00, 120.00 degrees
Fractional positions:
La 0.000 0.000 0.000
Tm 0.333 0.667 0.497
Cd 0.667 0.333 0.507

=====

Record 6
Below is CaCu3Sn3 after structural relaxation, with properties calculated at the GGA-PBE level.

SG = R-3
Total DFT energy (no corrections) = -53.76 eV/cell
N(E_F) = 5.360 states/eV per cell
Energy relative to the lowest polymorph listed for this composition = 26.7 meV per atom

Cell lengths 8.374, 8.374, 8.374 Å; angles 50.19, 50.19, 50.19 degrees
Fractional positions:
Ca 0.164 0.164 0.164
Ca 0.836 0.836 0.836
Cu 0.025 0.844 0.270
Cu 0.156 0.730 0.975
Cu 0.270 0.025 0.844
Cu 0.730 0.975 0.156
Cu 0.844 0.270 0.025
Cu 0.975 0.156 0.730
Sn 0.108 0.476 0.619
Sn 0.381 0.892 0.524
Sn 0.476 0.619 0.108
Sn 0.524 0.381 0.892
Sn 0.619 0.108 0.476
Sn 0.892 0.524 0.381

=====

Record 7
Below is Sc2MoP after structural relaxation, with properties calculated at the GGA-PBE level.

SG = C2/m
Total DFT energy (no corrections) = -30.04 eV/cell
N(E_F) = 2.604 states/eV per cell

Cell lengths 4.736, 4.736, 4.618 Å; angles 107.08, 107.08, 44.57 degrees
Fractional positions:
Sc 0.231 0.231 0.230
Sc 0.769 0.769 0.770
Mo 0.000 0.000 0.500
P 0.500 0.500 0.000

=====

Record 8
Below is CsRb2H8Pt after structural relaxation, with properties calculated at the GGA-PBE level.

SG = P-3m1
Total DFT energy (no corrections) = -37.31 eV/cell
N(E_F) = 2.100 states/eV per cell

Cell lengths 5.777, 5.777, 7.844 Å; angles 90.00, 90.00, 120.00 degrees
Fractional positions:
Cs 0.000 0.000 0.000
Rb 0.333 0.667 0.334
Rb 0.667 0.333 0.666
H 0.135 0.269 0.623
H 0.135 0.865 0.623
H 0.269 0.135 0.377
H 0.333 0.667 0.969
H 0.667 0.333 0.031
H 0.731 0.865 0.623
H 0.865 0.135 0.377
H 0.865 0.731 0.377
Pt 0.000 0.000 0.500

=====

Record 9
Below is Ag2P after structural relaxation, with properties calculated at the GGA-PBE level.

SG = C2/m
Total DFT energy (no corrections) = -20.72 eV/cell
N(E_F) = 1.802 states/eV per cell
Energy relative to the lowest polymorph listed for this composition = 81.1 meV per atom

Cell lengths 5.619, 5.619, 7.109 Å; angles 112.42, 112.42, 30.09 degrees
Fractional positions:
Ag 0.064 0.064 0.330
Ag 0.363 0.363 0.977
Ag 0.637 0.637 0.023
Ag 0.936 0.936 0.670
P 0.326 0.326 0.323
P 0.674 0.674 0.677

=====

Record 10
Below is AgHg2Ir after structural relaxation, with properties calculated at the GGA-PBE level.

SG = Cmmm
Total DFT energy (no corrections) = -10.78 eV/cell
N(E_F) = 1.746 states/eV per cell
Energy relative to the lowest polymorph listed for this composition = 47.5 meV per atom

Cell lengths 2.964, 2.964, 9.685 Å; angles 90.00, 90.00, 117.92 degrees
Fractional positions:
Ag 0.000 0.000 0.000
Hg 0.500 0.500 0.257
Hg 0.500 0.500 0.743
Ir 0.000 0.000 0.500